## TmMg8Pd2 (GGA-PBE)

Data for crystalline TmMg8Pd2 at its relaxed geometry.

Computed properties:
M_tot: 0.0 μB/f.u.
Calculated formation energy: -0.21 eV/atom
Calculated total energy: -29.934 eV per cell

Unit cell a=7.3039 b=7.3039 c=5.2412 alpha=98.38 beta=98.38 gamma=112.86
Atoms (fractional coordinates):
1 Tm 0.0000 0.0000 0.0000
2 Mg 0.0721 0.3248 0.5783
3 Mg 0.2643 0.7357 0.0000
4 Mg 0.3248 0.0721 0.5783
5 Mg 0.4109 0.4109 0.2173
6 Mg 0.5891 0.5891 0.7827
7 Mg 0.6752 0.9279 0.4217
8 Mg 0.7357 0.2643 0.0000
9 Mg 0.9279 0.6752 0.4217
10 Pd 0.3077 0.6923 0.5000
11 Pd 0.6923 0.3077 0.5000



## TmMgPd (GGA-PBE)

Data for crystalline TmMgPd at its relaxed geometry.

Computed properties:
M_tot: 0.0 μB/f.u.
Calculated formation energy: -0.49 eV/atom
Calculated total energy: -12.730 eV per cell

Unit cell a=4.6016 b=4.6016 c=3.5188 alpha=90.00 beta=90.00 gamma=120.00
Atoms (fractional coordinates):
1 Tm 0.0000 0.0000 0.0000
2 Mg 0.6667 0.3333 0.5000
3 Pd 0.3333 0.6667 0.5000



## Tm5MgPd4 (GGA-PBE)

Data for crystalline Tm5MgPd4 at its relaxed geometry.

Computed properties:
M_tot: 0.0 μB/f.u.
Calculated formation energy: -0.76 eV/atom
Calculated total energy: -52.314 eV per cell

Unit cell a=3.4838 b=3.4838 c=18.1347 alpha=90.00 beta=90.00 gamma=90.00
Atoms (fractional coordinates):
1 Tm 0.0000 0.0000 0.0000
2 Tm 0.0000 0.0000 0.1895
3 Tm 0.0000 0.0000 0.3766
4 Tm 0.0000 0.0000 0.6234
5 Tm 0.0000 0.0000 0.8105
6 Mg 0.5000 0.5000 0.5000
7 Pd 0.5000 0.5000 0.0957
8 Pd 0.5000 0.5000 0.2882
9 Pd 0.5000 0.5000 0.7118
10 Pd 0.5000 0.5000 0.9043



Question: Which value of M_tot does entry 3 give?
Answer: 0.0 μB/f.u.